# PBE RbZrTl, optimized geometry
data_RbZrTl
_chemical_formula_sum 'Rb2 Zr2 Tl2'
_space_group_name_H-M_alt 'P 63/m m c'
_space_group_IT_number 194
_space_group_name_Hall '-P 6c 2c'
_cell_length_a 5.6542
_cell_length_b 5.6542
_cell_length_c 6.3788
_cell_angle_alpha 90.00
_cell_angle_beta 90.00
_cell_angle_gamma 120.00
loop_
_atom_site_label
_atom_site_type_symbol
_atom_site_fract_x
_atom_site_fract_y
_atom_site_fract_z
_atom_site_occupancy
Rb1 Rb 0.0000 0.0000 0.0000 1
Zr1 Zr 0.3333 0.6667 0.2500 1
Tl1 Tl 0.3333 0.6667 0.7500 1
# Energy above the lowest structure with this stoichiometry: 1.712 eV/f.u.